A relaxed structure of SnPbBr4, computed with PBE-GGA.

Calculated values
Spin magnetization = 0.000 μB per atom
Energy relative to the elements, uncorrected = -483 kJ/mol of formula units
Space group = P2/m (10)

Cell: 4.4447 6.8753 7.6750 Å, 90.45 90.00 90.00°
Fractional coordinates of all 6 atoms:
Pb1 0.0000 0.0000 0.0000
Sn1 0.5000 0.0000 0.5000
Br1 0.0000 0.2402 0.3399
Br2 0.5000 0.7568 0.1688
Br3 0.0000 0.7598 0.6601
Br4 0.5000 0.2432 0.8312